Here is a PBEsol-optimized structure of Sc2RePb from the Alexandria database. Energies are from meta-GGA SCAN.

Cell lengths 3.609, 4.591, 4.591 Å; angles 90.00, 90.00, 90.00 degrees
Atoms (fractional coordinates):
Pb1 0.500 0.000 0.625
Re1 0.500 0.500 0.125
Sc1 0.000 0.000 0.125
Sc2 0.000 0.500 0.625

Values from the calculation:
Formation energy   -1.1 eV/f.u.
Spin magnetization   0.0 μB/cell
DOS(E_F)   1.89 states/eV/f.u.